The following is a DFT calculation (PBE) of NaAsPd after structural relaxation.

Properties
The raw total energy comes out at -12.348 eV for the cell shown. Its space-group type is I4mm, No. 107.

POSCAR file:
```
NaAsPd
1.0
-1.7174 1.7174 5.1802
1.7174 -1.7174 5.1802
1.7174 1.7174 -5.1802
Na As Pd
1 1 1
Direct
0.0000 0.0000 0.0000
0.7079 0.7079 0.0000
0.2879 0.2879 0.0000
```

---

The following is a DFT calculation (PBE) of NdAlSi2Ni5 after structural relaxation.

Properties
Its energy relative to the elements, uncorrected is -0.314 eV per atom. Its space-group type is P4/mmm, No. 123.

POSCAR file:
```
NdAlSi2Ni5
1.0
3.8363 0.0000 0.0000
0.0000 3.8363 0.0000
0.0000 0.0000 9.7024
Nd Al Si Ni
1 1 2 5
Direct
0.0000 0.0000 0.0000
0.0000 0.0000 0.5000
0.5000 0.5000 0.2265
0.5000 0.5000 0.7735
0.0000 0.5000 0.3495
0.0000 0.5000 0.6505
0.5000 0.0000 0.3495
0.5000 0.0000 0.6505
0.5000 0.5000 0.0000
```

---

The following is a DFT calculation (PBE) of La4PmHo2 after structural relaxation.

Properties
The raw total energy comes out at -66.242 eV for the cell shown. Its space-group type is Cc, No. 9.

POSCAR file:
```
La4PmHo2
1.0
3.2732 -12.3408 0.0000
3.2732 12.3408 0.0000
-3.2718 0.0000 6.0895
La Pm Ho
8 2 4
Direct
0.0186 0.9814 0.5000
0.1371 0.5998 0.7363
0.2166 0.6115 0.2781
0.4518 0.5567 0.4568
0.5567 0.4518 0.9568
0.5998 0.1371 0.2363
0.6115 0.2166 0.7781
0.9814 0.0186 0.0000
0.0891 0.8391 0.8675
0.8391 0.0891 0.3675
0.0487 0.7335 0.3222
0.3436 0.5286 0.9124
0.5286 0.3436 0.4124
0.7335 0.0487 0.8222
```

---

The following is a DFT calculation (PBE) of CdTcPb after structural relaxation.

Properties
The raw total energy comes out at -13.227 eV for the cell shown. Its space-group type is I4mm, No. 107.

POSCAR file:
```
CdTcPb
1.0
-1.7461 1.7461 5.0745
1.7461 -1.7461 5.0745
1.7461 1.7461 -5.0745
Cd Tc Pb
1 1 1
Direct
0.0000 0.0000 0.0000
0.3428 0.3428 0.0000
0.6983 0.6983 0.0000
```

---

The following is a DFT calculation (PBE) of Ca2TlRh after structural relaxation.

Properties
The raw total energy comes out at -14.838 eV for the cell shown. Its space-group type is P4/mmm, No. 123.

POSCAR file:
```
Ca2TlRh
1.0
4.9338 0.0000 0.0000
0.0000 4.9338 0.0000
0.0000 0.0000 3.9722
Ca Tl Rh
2 1 1
Direct
0.0000 0.5000 0.0000
0.5000 0.0000 0.0000
0.0000 0.0000 0.5000
0.5000 0.5000 0.5000
```

---

The following is a DFT calculation (PBE) of TlIn5Sn3 after structural relaxation.

Properties
The raw total energy comes out at -55.428 eV for the cell shown. Its space-group type is P6_3/mcm, No. 193.

POSCAR file:
```
TlIn5Sn3
1.0
9.4471 0.0000 0.0000
-4.7235 8.1814 0.0000
0.0000 0.0000 6.4925
Tl In Sn
2 10 6
Direct
0.0000 0.0000 0.0000
0.0000 0.0000 0.5000
0.0000 0.3331 0.2500
0.0000 0.6669 0.7500
0.3331 0.0000 0.2500
0.3331 0.3331 0.7500
0.3333 0.6667 0.0000
0.3333 0.6667 0.5000
0.6669 0.0000 0.7500
0.6667 0.3333 0.0000
0.6667 0.3333 0.5000
0.6669 0.6669 0.2500
0.0000 0.3384 0.7500
0.0000 0.6616 0.2500
0.3384 0.0000 0.7500
0.3384 0.3384 0.2500
0.6616 0.0000 0.2500
0.6616 0.6616 0.7500
```

---

Question: What is the formula in the fifth record?
Answer: Ca2TlRh